Sc2CdCo | PBE-GGA | optimized geometry

total DFT energy (no corrections)	-5.2907	eV/atom

```
data_Sc2CdCo
_chemical_formula_sum 'Sc6 Cd3 Co3'
_symmetry_space_group_name_H-M 'R -3 m'
_symmetry_Int_Tables_number 166
_symmetry_space_group_name_Hall '-R 3 2"'
_cell_length_a 3.5127
_cell_length_b 3.5127
_cell_length_c 23.2752
_cell_angle_alpha 90.00
_cell_angle_beta 90.00
_cell_angle_gamma 120.00
loop_
_atom_site_label
_atom_site_fract_x
_atom_site_fract_y
_atom_site_fract_z
Sc1 0.0000 0.0000 0.2301
Cd1 0.0000 0.0000 0.0000
Co1 0.0000 0.0000 0.5000
```

---

TbGa2Ru | PBE-GGA | optimized geometry

total DFT energy (no corrections)	-5.4177	eV/atom

```
data_TbGa2Ru
_chemical_formula_sum 'Tb1 Ga2 Ru1'
_symmetry_space_group_name_H-M 'P 4/m m m'
_symmetry_Int_Tables_number 123
_symmetry_space_group_name_Hall '-P 4 2'
_cell_length_a 3.206
_cell_length_b 3.206
_cell_length_c 6.964
_cell_angle_alpha 90.00
_cell_angle_beta 90.00
_cell_angle_gamma 90.00
loop_
_atom_site_label
_atom_site_fract_x
_atom_site_fract_y
_atom_site_fract_z
Tb1 0.000 0.000 0.000
Ga1 0.500 0.500 0.304
Ru1 0.000 0.000 0.500
```

---

HgRhN2O | PBE-GGA | optimized geometry

E_form (uncorrected)	1030	meV/atom

```
data_HgRhN2O
_chemical_formula_sum 'Hg1 Rh1 N2 O1'
_symmetry_space_group_name_H-M 'P 4/m m m'
_symmetry_Int_Tables_number 123
_symmetry_space_group_name_Hall '-P 4 2'
_cell_length_a 3.805
_cell_length_b 3.805
_cell_length_c 4.465
_cell_angle_alpha 90.00
_cell_angle_beta 90.00
_cell_angle_gamma 90.00
loop_
_atom_site_label
_atom_site_fract_x
_atom_site_fract_y
_atom_site_fract_z
Hg1 0.000 0.000 0.000
Rh1 0.500 0.500 0.500
N1 0.000 0.500 0.500
O1 0.500 0.500 0.000
```

---

Pm2In2Rh | PBE-GGA | optimized geometry

total DFT energy (no corrections)	-4.9407	eV/atom

```
data_Pm2In2Rh
_chemical_formula_sum 'Pm8 In8 Rh4'
_symmetry_space_group_name_H-M 'I 41/a m d'
_symmetry_Int_Tables_number 141
_cell_length_a 4.721
_cell_length_b 4.721
_cell_length_c 24.158
_cell_angle_alpha 90.00
_cell_angle_beta 90.00
_cell_angle_gamma 90.00
loop_
_symmetry_equiv_pos_as_xyz
'x,y,z'
'-x,-y,-z'
'-y+1/4,x+3/4,z+1/4'
'y+1/4,-x+3/4,-z+1/4'
'-x+1/2,-y,z+1/2'
'x+1/2,y,-z+1/2'
'y+1/4,-x+1/4,z+3/4'
'-y+1/4,x+1/4,-z+3/4'
'x,-y,-z'
'-x,y,z'
'-y+1/4,-x+1/4,-z+3/4'
'y+1/4,x+1/4,z+3/4'
'-x+1/2,y,-z+1/2'
'x+1/2,-y,z+1/2'
'y+1/4,x+3/4,-z+1/4'
'-y+1/4,-x+3/4,z+1/4'
'x+1/2,y+1/2,z+1/2'
'-x+1/2,-y+1/2,-z+1/2'
'-y+3/4,x+1/4,z+3/4'
'y+3/4,-x+1/4,-z+3/4'
'-x,-y+1/2,z'
'x,y+1/2,-z'
'y+3/4,-x+3/4,z+1/4'
'-y+3/4,x+3/4,-z+1/4'
'x+1/2,-y+1/2,-z+1/2'
'-x+1/2,y+1/2,z+1/2'
'-y+3/4,-x+3/4,-z+1/4'
'y+3/4,x+3/4,z+1/4'
'-x,y+1/2,-z'
'x,-y+1/2,z'
'y+3/4,x+1/4,-z+3/4'
'-y+3/4,-x+1/4,z+3/4'
loop_
_atom_site_label
_atom_site_fract_x
_atom_site_fract_y
_atom_site_fract_z
Pm1 0.000 0.250 0.061
In1 0.000 0.250 0.201
Rh1 0.000 0.250 0.375
```

---

BaMgCu2 | PBE-GGA | optimized geometry

total DFT energy (no corrections)	-2.6091	eV/atom

```
data_BaMgCu2
_chemical_formula_sum 'Ba2 Mg2 Cu4'
_symmetry_space_group_name_H-M 'I -4 m 2'
_symmetry_Int_Tables_number 119
_symmetry_space_group_name_Hall 'I -4 -2'
_cell_length_a 4.716
_cell_length_b 4.716
_cell_length_c 8.649
_cell_angle_alpha 90.00
_cell_angle_beta 90.00
_cell_angle_gamma 90.00
loop_
_atom_site_label
_atom_site_fract_x
_atom_site_fract_y
_atom_site_fract_z
Ba1 0.000 0.000 0.000
Mg1 0.000 0.500 0.250
Cu1 0.000 0.000 0.500
Cu2 0.000 0.500 0.750
```

---

TlZn2InCl8 | PBE-GGA | optimized geometry

E_form (uncorrected)	-1071	meV/atom

```
data_TlZn2InCl8
_chemical_formula_sum 'Tl3 Zn6 In3 Cl24'
_symmetry_space_group_name_H-M 'R -3'
_symmetry_Int_Tables_number 148
_symmetry_space_group_name_Hall '-R 3'
_cell_length_a 6.3432
_cell_length_b 6.3432
_cell_length_c 29.0401
_cell_angle_alpha 90.00
_cell_angle_beta 90.00
_cell_angle_gamma 120.00
loop_
_atom_site_label
_atom_site_fract_x
_atom_site_fract_y
_atom_site_fract_z
Tl1 0.0000 0.0000 0.0000
Zn1 0.0000 0.0000 0.2447
In1 0.0000 0.0000 0.5000
Cl1 0.0000 0.0000 0.3210
Cl2 0.0006 0.3470 0.2186
```

---

Ba4SbP | PBE-GGA | optimized geometry

E_form (uncorrected)	-807	meV/atom

```
data_Ba4SbP
_chemical_formula_sum 'Ba4 Sb1 P1'
_symmetry_space_group_name_H-M 'P 4/m m m'
_symmetry_Int_Tables_number 123
_symmetry_space_group_name_Hall '-P 4 2'
_cell_length_a 5.637
_cell_length_b 5.637
_cell_length_c 8.063
_cell_angle_alpha 90.00
_cell_angle_beta 90.00
_cell_angle_gamma 90.00
loop_
_atom_site_label
_atom_site_fract_x
_atom_site_fract_y
_atom_site_fract_z
Ba1 0.000 0.500 0.230
Sb1 0.000 0.000 0.500
P1 0.500 0.500 0.000
```

---

Sm5Y4Tm3 | PBE-GGA | optimized geometry

total DFT energy (no corrections)	-5.0138	eV/atom

```
data_Sm5Y4Tm3
_chemical_formula_sum 'Sm10 Y8 Tm6'
_symmetry_space_group_name_H-M 'C 1 2/m 1'
_symmetry_Int_Tables_number 12
_cell_length_a 16.287
_cell_length_b 5.893
_cell_length_c 9.330
_cell_angle_alpha 90.00
_cell_angle_beta 117.30
_cell_angle_gamma 90.00
loop_
_symmetry_equiv_pos_as_xyz
'x,y,z'
'-x,-y,-z'
'-x,y,-z'
'x,-y,z'
'x+1/2,y+1/2,z'
'-x+1/2,-y+1/2,-z'
'-x+1/2,y+1/2,-z'
'x+1/2,-y+1/2,z'
loop_
_atom_site_label
_atom_site_fract_x
_atom_site_fract_y
_atom_site_fract_z
Sm1 0.000 0.000 0.000
Sm2 0.076 0.500 0.702
Sm3 0.174 0.500 0.384
Y1 0.080 0.000 0.436
Y2 0.215 0.000 0.878
Tm1 0.000 0.500 0.000
Tm2 0.209 0.000 0.230
```

---

Asked for density of states at the Fermi level across the records above, the calculation gives 7.564; 2.230; 2.573; 18.020; 3.139; 0.000; 3.716; 40.350 states/eV per cell in order.